(1)
This record from Alexandria describes an optimized crystal structure of Al2TlCo. The functional is PBE.

```
data_Al2TlCo
_symmetry_space_group_name_H-M 'C 1 2/m 1'
_symmetry_Int_Tables_number 12
_cell_length_a 5.452
_cell_length_b 9.485
_cell_length_c 3.113
_cell_angle_alpha 90.00
_cell_angle_beta 120.25
_cell_angle_gamma 90.00
loop_
_symmetry_equiv_pos_as_xyz
'x,y,z'
'-x,-y,-z'
'-x,y,-z'
'x,-y,z'
'x+1/2,y+1/2,z'
'-x+1/2,-y+1/2,-z'
'-x+1/2,y+1/2,-z'
'x+1/2,-y+1/2,z'
loop_
_atom_site_label
_atom_site_type_symbol
_atom_site_fract_x
_atom_site_fract_y
_atom_site_fract_z
Al1 Al 0.250 0.250 0.000
Tl1 Tl 0.000 0.000 0.000
Co1 Co 0.000 0.500 0.000
```

Computed properties:
Uncorrected energy = -3.86 eV/atom
Crystal system = monoclinic
Calculated formation energy = 379 meV per atom



(2)
This record from Alexandria describes an optimized crystal structure of AlTl2Co. The functional is PBE.

```
data_AlTl2Co
_symmetry_space_group_name_H-M 'P 4/m m m'
_symmetry_Int_Tables_number 123
_symmetry_space_group_name_Hall '-P 4 2'
_cell_length_a 3.114
_cell_length_b 3.114
_cell_length_c 8.423
_cell_angle_alpha 90.00
_cell_angle_beta 90.00
_cell_angle_gamma 90.00
loop_
_atom_site_label
_atom_site_type_symbol
_atom_site_fract_x
_atom_site_fract_y
_atom_site_fract_z
Al1 Al 0.000 0.000 0.000
Tl1 Tl 0.500 0.500 0.293
Co1 Co 0.000 0.000 0.500
```

Computed properties:
Uncorrected energy = -3.37 eV/atom
Crystal system = tetragonal
Calculated formation energy = 522 meV per atom



(3)
This record from Alexandria describes an optimized crystal structure of Al2TlCo. The functional is PBE.

```
data_Al2TlCo
_symmetry_space_group_name_H-M 'R -3 m'
_symmetry_Int_Tables_number 166
_symmetry_space_group_name_Hall '-R 3 2"'
_cell_length_a 3.0759
_cell_length_b 3.0759
_cell_length_c 25.8677
_cell_angle_alpha 90.00
_cell_angle_beta 90.00
_cell_angle_gamma 120.00
loop_
_atom_site_label
_atom_site_type_symbol
_atom_site_fract_x
_atom_site_fract_y
_atom_site_fract_z
Al1 Al 0.0000 0.0000 0.2306
Tl1 Tl 0.0000 0.0000 0.0000
Co1 Co 0.0000 0.0000 0.5000
```

Computed properties:
Uncorrected energy = -4.16 eV/atom
Crystal system = trigonal
Calculated formation energy = 75 meV per atom